No. 1
Compound: Sm3Dy5Er4
Source: the Alexandria database
Functional: GGA-PBE
Structure: relaxed

Calculated values
The total energy is -4.60 eV per atom. As for the energy relative to the lowest polymorph listed for this composition: 0.000 eV per atom. The value obtained for the formation energy is 1.7 kJ/mol of atoms. The total magnetic moment comes out at 0.0 μB/f.u. The density of states at the Fermi level comes out at 1.271 states/eV per atom. As for the crystal system: triclinic.

Cell lengths 7.100, 11.225, 12.796 Å; angles 151.29, 56.35, 129.28 degrees
Atoms (fractional coordinates):
Sm 0.585 0.168 0.334
Sm 0.000 0.000 0.500
Sm 0.415 0.832 0.666
Dy 0.334 0.668 0.834
Dy 0.500 0.000 0.500
Dy 0.749 0.501 0.001
Dy 0.251 0.499 0.999
Dy 0.666 0.332 0.166
Er 0.917 0.834 0.668
Er 0.833 0.667 0.834
Er 0.167 0.333 0.166
Er 0.083 0.166 0.332

No. 2
Compound: RbGeTe2
Source: the Alexandria database
Functional: GGA-PBE
Structure: relaxed

Calculated values
The total energy is -3.35 eV per atom. The calculation puts the formation energy without anion corrections at -148 kJ/mol of formula units. The total magnetic moment comes out at 0.0 μB/f.u. The density of states at the Fermi level comes out at 0.977 states/eV per atom. As for the crystal system: tetragonal.

Cell lengths 8.331, 8.331, 7.689 Å; angles 57.20, 57.20, 90.00 degrees
Atoms (fractional coordinates):
Ge 0.500 0.500 0.000
Ge 0.250 0.750 0.500
Te 0.530 0.125 0.250
Te 0.220 0.625 0.250
Te 0.375 0.470 0.750
Te 0.875 0.780 0.750
Rb 0.000 0.000 0.000
Rb 0.750 0.250 0.500

No. 3
Compound: Pa8InTc6
Source: the Alexandria database
Functional: GGA-PBE
Structure: relaxed

Calculated values
The total energy is -9.47 eV per atom. The value obtained for the formation energy is -7.2 kJ/mol of atoms. The total magnetic moment comes out at 0.0 μB/f.u. The density of states at the Fermi level comes out at 1.170 states/eV per atom. As for the crystal system: trigonal.

Cell lengths 3.886, 10.079, 10.079 Å; angles 120.00, 90.00, 90.00 degrees
Atoms (fractional coordinates):
Pa 0.765 0.682 0.952
Pa 0.765 0.048 0.730
Pa 0.765 0.270 0.318
Pa 0.235 0.318 0.048
Pa 0.235 0.952 0.270
Pa 0.235 0.730 0.682
Pa 0.747 0.667 0.333
Pa 0.253 0.333 0.667
In 0.500 0.000 0.000
Tc 0.746 0.531 0.626
Tc 0.746 0.374 0.904
Tc 0.746 0.096 0.469
Tc 0.254 0.469 0.374
Tc 0.254 0.626 0.096
Tc 0.254 0.904 0.531

No. 4
Compound: Mn2VBr4
Source: the Alexandria database
Functional: GGA-PBE
Structure: relaxed

Calculated values
The total energy is -4.98 eV per atom. The calculation puts the formation energy without anion corrections at -70 kJ/mol of formula units. The total magnetic moment comes out at 12.4 μB/f.u. The density of states at the Fermi level comes out at 0.526 states/eV per atom. As for the crystal system: tetragonal.

Cell lengths 5.431, 5.431, 7.469 Å; angles 68.68, 68.68, 90.00 degrees
Site moments in Bohr magnetons follow the coordinates.
Atoms (fractional coordinates):
Mn 0.601 0.601 0.798  4.10
Mn 0.399 0.399 0.202  4.10
Br 0.796 0.796 0.408  0.03
Br 0.204 0.204 0.592  0.03
Br 0.000 0.500 0.000  0.03
Br 0.500 0.000 0.000  0.03
V 0.000 0.000 0.000  2.83

No. 5
Compound: Tb2Al6FeCo
Source: the Alexandria database
Functional: GGA-PBE
Structure: relaxed

Calculated values
The total energy is -5.07 eV per atom. The value obtained for the formation energy is -32.6 kJ/mol of atoms. The total magnetic moment comes out at 0.0 μB/f.u. The density of states at the Fermi level comes out at 0.473 states/eV per atom. As for the crystal system: orthorhombic.

Cell lengths 6.377, 6.377, 6.372 Å; angles 60.03, 60.02, 90.01 degrees
Atoms (fractional coordinates):
Tb 0.250 0.750 0.500
Tb 0.750 0.250 0.500
Al 0.250 0.750 0.000
Al 0.750 0.750 0.000
Al 0.250 0.250 0.500
Al 0.750 0.250 0.000
Al 0.250 0.250 0.000
Al 0.750 0.750 0.500
Fe 0.000 0.000 0.000
Co 0.500 0.500 0.000

No. 6
Compound: LiSc2Ta
Source: the Alexandria database
Functional: GGA-PBE
Structure: relaxed

Calculated values
The total energy is -6.44 eV per atom. As for the energy relative to the lowest polymorph listed for this composition: 0.041 eV per atom. The value obtained for the formation energy is 16.6 kJ/mol of atoms. The total magnetic moment comes out at 0.0 μB/f.u. The density of states at the Fermi level comes out at 1.344 states/eV per atom. As for the crystal system: trigonal.

Cell lengths 10.526, 10.526, 10.526 Å; angles 16.94, 16.94, 16.94 degrees
Atoms (fractional coordinates):
Li 0.750 0.750 0.750
Sc 0.995 0.995 0.995
Sc 0.505 0.505 0.505
Ta 0.250 0.250 0.250

No. 7
Compound: Sm6BiP3S2
Source: the Alexandria database
Functional: GGA-PBE
Structure: relaxed

Calculated values
The total energy is -6.34 eV per atom. The calculation puts the formation energy without anion corrections at -1869 kJ/mol of formula units. The total magnetic moment comes out at 0.0 μB/f.u. The density of states at the Fermi level comes out at 0.352 states/eV per atom. As for the crystal system: monoclinic.

Cell lengths 4.144, 8.364, 9.311 Å; angles 103.43, 102.86, 90.00 degrees
Atoms (fractional coordinates):
Sm 0.325 0.918 0.650
Sm 0.665 0.589 0.331
Sm 0.675 0.082 0.350
Sm 0.000 0.272 0.000
Sm 0.000 0.728 0.000
Sm 0.335 0.411 0.669
Bi 0.500 0.000 0.000
P 0.500 0.500 0.000
P 0.835 0.169 0.669
P 0.165 0.831 0.331
S 0.830 0.662 0.661
S 0.170 0.338 0.339

No. 8
Compound: TaCd2Ag
Source: the Alexandria database
Functional: GGA-PBE
Structure: relaxed

Calculated values
The total energy is -3.93 eV per atom. As for the energy relative to the lowest polymorph listed for this composition: 0.057 eV per atom. The value obtained for the formation energy is 19.9 kJ/mol of atoms. The total magnetic moment comes out at 0.0 μB/f.u. The density of states at the Fermi level comes out at 0.541 states/eV per atom. As for the crystal system: orthorhombic.

Cell lengths 2.884, 2.884, 9.689 Å; angles 90.00, 90.00, 104.92 degrees
Atoms (fractional coordinates):
Cd 0.000 0.000 0.990
Cd 0.500 0.500 0.259
Ag 0.500 0.500 0.744
Ta 0.000 0.000 0.507

No. 9
Compound: Zn2HPtRh
Source: the Alexandria database
Functional: GGA-PBE
Structure: relaxed

Calculated values
The total energy is -4.08 eV per atom. As for the energy relative to the lowest polymorph listed for this composition: 0.099 eV per atom. The total magnetic moment comes out at 0.0 μB/f.u. The density of states at the Fermi level comes out at 0.229 states/eV per atom. As for the crystal system: tetragonal.

Cell lengths 4.203, 4.203, 3.449 Å; angles 90.00, 90.00, 90.00 degrees
Atoms (fractional coordinates):
H 0.000 0.000 0.000
Zn 0.000 0.500 0.000
Zn 0.500 0.000 0.000
Rh 0.500 0.500 0.500
Pt 0.000 0.000 0.500

No. 10
Compound: La2YThP4
Source: the Alexandria database
Functional: GGA-PBE
Structure: relaxed

Calculated values
The total energy is -7.28 eV per atom. The value obtained for the formation energy is -154.7 kJ/mol of atoms. The total magnetic moment comes out at 0.0 μB/f.u. The density of states at the Fermi level comes out at 0.223 states/eV per atom. As for the crystal system: monoclinic.

Cell lengths 4.175, 7.205, 7.256 Å; angles 109.39, 90.00, 90.00 degrees
Atoms (fractional coordinates):
La 0.500 0.000 0.500
La 0.000 0.500 0.500
Y 0.000 0.000 0.000
Th 0.500 0.500 0.000
P 0.500 0.244 0.238
P 0.500 0.756 0.762
P 0.000 0.252 0.761
P 0.000 0.748 0.239

No. 11
Compound: SrAuSe2
Source: the Alexandria database
Functional: GGA-PBE
Structure: relaxed

Calculated values
The total energy is -3.51 eV per atom. As for the energy relative to the lowest polymorph listed for this composition: 0.436 eV per atom. The calculation puts the formation energy without anion corrections at -203 kJ/mol of formula units. The total magnetic moment comes out at 0.0 μB/f.u. The density of states at the Fermi level comes out at 0.350 states/eV per atom. As for the crystal system: tetragonal.

Cell lengths 3.989, 3.989, 6.228 Å; angles 90.00, 90.00, 90.00 degrees
Atoms (fractional coordinates):
Au 0.500 0.500 0.750
Se 0.000 0.000 0.992
Se 0.000 0.000 0.508
Sr 0.500 0.500 0.250

No. 12
Compound: Mg12Sn6Hg
Source: the Alexandria database
Functional: GGA-PBE
Structure: relaxed

Calculated values
The total energy is -2.38 eV per atom. The value obtained for the formation energy is -8.7 kJ/mol of atoms. The total magnetic moment comes out at 0.0 μB/f.u. The density of states at the Fermi level comes out at 0.368 states/eV per atom. As for the crystal system: trigonal.

Cell lengths 8.264, 8.264, 8.264 Å; angles 99.80, 99.80, 99.80 degrees
Atoms (fractional coordinates):
Mg 0.820 0.534 0.391
Mg 0.391 0.820 0.534
Mg 0.534 0.391 0.820
Mg 0.180 0.466 0.609
Mg 0.609 0.180 0.466
Mg 0.466 0.609 0.180
Mg 0.033 0.884 0.322
Mg 0.116 0.678 0.967
Mg 0.678 0.967 0.116
Mg 0.967 0.116 0.678
Mg 0.884 0.322 0.033
Mg 0.322 0.033 0.884
Sn 0.719 0.856 0.442
Sn 0.558 0.281 0.144
Sn 0.144 0.558 0.281
Sn 0.281 0.144 0.558
Sn 0.442 0.719 0.856
Sn 0.856 0.442 0.719
Hg 0.000 0.000 0.000

No. 13
Compound: Ce4Dy9Er11
Source: the Alexandria database
Functional: GGA-PBE
Structure: relaxed

Calculated values
The total energy is -4.71 eV per atom. The value obtained for the formation energy is 9.5 kJ/mol of atoms. The total magnetic moment comes out at 4.1 μB/f.u. The density of states at the Fermi level comes out at 1.909 states/eV per atom. As for the crystal system: orthorhombic.

Cell lengths 3.637, 14.917, 14.917 Å; angles 112.45, 90.00, 90.00 degrees
Site moments in Bohr magnetons follow the coordinates.
Atoms (fractional coordinates):
Ce 0.500 0.553 0.750  0.75
Ce 0.500 0.447 0.250  0.75
Ce 0.500 0.750 0.553  0.75
Ce 0.500 0.250 0.447  0.75
Dy 0.500 0.634 0.161  -0.01
Dy 0.500 0.366 0.839  -0.01
Dy 0.500 0.161 0.634  -0.01
Dy 0.500 0.839 0.366  -0.01
Dy 0.500 0.786 0.932  0.01
Dy 0.500 0.214 0.068  0.01
Dy 0.500 0.932 0.786  0.01
Dy 0.500 0.068 0.214  0.01
Dy 0.500 0.500 0.500  0.02
Er 0.000 0.591 0.952  0.03
Er 0.000 0.409 0.048  0.03
Er 0.000 0.952 0.591  0.03
Er 0.000 0.048 0.409  0.03
Er 0.000 0.637 0.363  0.09
Er 0.000 0.363 0.637  0.09
Er 0.000 0.842 0.158  -0.02
Er 0.000 0.158 0.842  -0.02
Er 0.000 0.000 0.000  -0.04
Er 0.000 0.714 0.714  0.09
Er 0.000 0.286 0.286  0.09

No. 14
Compound: TiSb2F
Source: the Alexandria database
Functional: GGA-PBE
Structure: relaxed

Calculated values
The total energy is -4.90 eV per atom. As for the energy relative to the lowest polymorph listed for this composition: 0.110 eV per atom. The calculation puts the formation energy without anion corrections at -151 kJ/mol of formula units. The total magnetic moment comes out at 1.0 μB/f.u. The density of states at the Fermi level comes out at 0.529 states/eV per atom. As for the crystal system: tetragonal.

Cell lengths 4.219, 4.219, 10.392 Å; angles 78.29, 78.29, 90.00 degrees
Site moments in Bohr magnetons follow the coordinates.
Atoms (fractional coordinates):
Sb 0.633 0.125 0.250  -0.03
Sb 0.117 0.625 0.250  -0.03
Sb 0.375 0.367 0.750  -0.02
Sb 0.875 0.883 0.750  -0.02
F 0.500 0.500 0.000  -0.01
F 0.250 0.750 0.500  -0.01
Ti 0.000 0.000 0.000  0.91
Ti 0.750 0.250 0.500  0.91

No. 15
Compound: ZnSeCl4
Source: the Alexandria database
Functional: GGA-PBE
Structure: relaxed

Calculated values
The total energy is -1.23 eV per atom. The calculation puts the formation energy without anion corrections at 458 kJ/mol of formula units. The total magnetic moment comes out at 3.7 μB/f.u. The density of states at the Fermi level comes out at 1.419 states/eV per atom. As for the crystal system: cubic.

Cell lengths 5.937, 5.937, 5.937 Å; angles 60.00, 60.00, 60.00 degrees
Site moments in Bohr magnetons follow the coordinates.
Atoms (fractional coordinates):
Zn 0.000 0.000 0.000  -0.20
Se 0.750 0.750 0.750  1.16
Cl 0.878 0.374 0.374  0.46
Cl 0.374 0.374 0.878  0.46
Cl 0.374 0.878 0.374  0.46
Cl 0.374 0.374 0.374  0.46

No. 16
Compound: SbH3S
Source: the Alexandria database
Functional: GGA-PBE
Structure: relaxed

Calculated values
The total energy is -2.83 eV per atom. As for the energy relative to the lowest polymorph listed for this composition: 0.118 eV per atom. The total magnetic moment comes out at 0.0 μB/f.u. The density of states at the Fermi level comes out at 0.277 states/eV per atom. As for the crystal system: cubic.

Cell lengths 3.718, 3.718, 3.718 Å; angles 90.00, 90.00, 90.00 degrees
Atoms (fractional coordinates):
Sb 0.500 0.500 0.500
S 0.000 0.000 0.000
H 0.000 0.500 0.000
H 0.000 0.000 0.500
H 0.500 0.000 0.000

No. 17
Compound: Pm2YTh
Source: the Alexandria database
Functional: GGA-PBE
Structure: relaxed

Calculated values
The total energy is -5.69 eV per atom. As for the energy relative to the lowest polymorph listed for this composition: 0.140 eV per atom. The value obtained for the formation energy is 15.5 kJ/mol of atoms. The total magnetic moment comes out at 0.5 μB/f.u. The density of states at the Fermi level comes out at 1.453 states/eV per atom. As for the crystal system: trigonal.

Cell lengths 3.558, 3.558, 12.612 Å; angles 81.89, 81.89, 60.00 degrees
Site moments in Bohr magnetons follow the coordinates.
Atoms (fractional coordinates):
Y 0.000 0.000 0.000  0.21
Th 0.500 0.500 0.500  0.00
Pm 0.091 0.091 0.728  0.03
Pm 0.909 0.909 0.272  0.03

No. 18
Compound: LiTmCuSn
Source: the Alexandria database
Functional: GGA-PBE
Structure: relaxed

Calculated values
The total energy is -4.00 eV per atom. The value obtained for the formation energy is -36.4 kJ/mol of atoms. The total magnetic moment comes out at 0.0 μB/f.u. The density of states at the Fermi level comes out at 0.496 states/eV per atom. As for the crystal system: cubic.

Cell lengths 4.681, 4.681, 4.681 Å; angles 60.00, 60.00, 60.00 degrees
Atoms (fractional coordinates):
Tm 0.750 0.750 0.750
Sn 0.250 0.250 0.250
Cu 0.500 0.500 0.500
Li 0.000 0.000 0.000

No. 19
Compound: LiIrOs
Source: the Alexandria database
Functional: GGA-PBE
Structure: relaxed

Calculated values
The total energy is -7.00 eV per atom. As for the energy relative to the lowest polymorph listed for this composition: 0.357 eV per atom. The value obtained for the formation energy is 31.9 kJ/mol of atoms. The total magnetic moment comes out at 0.0 μB/f.u. The density of states at the Fermi level comes out at 0.719 states/eV per atom. As for the crystal system: cubic.

Cell lengths 4.068, 4.068, 4.068 Å; angles 60.00, 60.00, 60.00 degrees
Atoms (fractional coordinates):
Ir 0.500 0.500 0.500
Os 0.750 0.750 0.750
Li 0.250 0.250 0.250

No. 20
Compound: Ac4Nd4Dy
Source: the Alexandria database
Functional: GGA-PBE
Structure: relaxed

Calculated values
The total energy is -4.42 eV per atom. The value obtained for the formation energy is 3.9 kJ/mol of atoms. The total magnetic moment comes out at 0.0 μB/f.u. The density of states at the Fermi level comes out at 1.600 states/eV per atom. As for the crystal system: tetragonal.

Cell lengths 5.378, 8.508, 8.508 Å; angles 84.27, 71.58, 71.58 degrees
Atoms (fractional coordinates):
Ac 0.334 0.332 0.000
Ac 0.666 0.668 0.000
Ac 0.666 0.000 0.668
Ac 0.334 0.000 0.332
Nd 0.000 0.662 0.338
Nd 0.000 0.338 0.662
Nd 0.662 0.338 0.338
Nd 0.338 0.662 0.662
Dy 0.000 0.000 0.000